Record 1
Density functional theory data (PBE-GGA) for a relaxed Ba2BeAl crystal.

```
Ba2BeAl
1.0
10.106 0.014 0.008
9.214 4.153 0.008
9.214 1.987 3.646
Be Ba Al
1 2 1
Direct
0.250 0.250 0.250 Be
0.994 0.994 0.994 Ba
0.506 0.506 0.506 Ba
0.750 0.750 0.750 Al
```

Calculated values
ΔE to the lowest computed polymorph	398	meV/atom
space-group type	No. 166

Record 2
Density functional theory data (PBE-GGA) for a relaxed BaBe2Al crystal.

```
BaBe2Al
1.0
4.068 -0.013 0.014
2.045 3.517 0.014
2.003 1.148 5.986
Be Ba Al
2 1 1
Direct
0.069 0.069 0.792 Be
0.431 0.431 0.708 Be
0.250 0.250 0.250 Ba
0.750 0.750 0.750 Al
```

Calculated values
E_tot	-12.72	eV per cell
space-group type	No. 12

Record 3
Density functional theory data (PBE-GGA) for a relaxed Ba2BeAl crystal.

```
Ba2BeAl
1.0
-0.336 3.450 -2.709
-2.541 -2.145 -2.418
-7.753 1.714 3.144
Be Ba Al
1 2 1
Direct
0.000 0.652 0.570 Be
0.000 0.989 0.899 Ba
0.500 0.261 0.352 Ba
0.500 0.598 0.679 Al
```

Calculated values
ΔE to the lowest computed polymorph	3	meV/atom
space-group type	No. 38

Record 4
Density functional theory data (PBE-GGA) for a relaxed BaBe2Al crystal.

```
BaBe2Al
1.0
3.104 0.000 0.000
0.000 3.143 0.000
0.000 0.000 7.734
Be Ba Al
2 1 1
Direct
0.000 0.000 0.101 Be
0.500 0.500 0.212 Be
0.500 0.500 0.772 Ba
0.000 0.000 0.414 Al
```

Calculated values
E_tot	-11.28	eV per cell
space-group type	No. 25

Record 5
Density functional theory data (PBE-GGA) for a relaxed BaBe2Al crystal.

```
BaBe2Al
1.0
-3.933 -0.151 -0.802
-1.719 -3.498 -0.971
-3.055 -2.286 5.280
Be Ba Al
2 1 1
Direct
0.067 0.067 0.797 Be
0.741 0.741 0.778 Be
0.253 0.253 0.243 Ba
0.439 0.439 0.683 Al
```

Calculated values
E_tot	-12.73	eV per cell
space-group type	No. 8

Record 6
Density functional theory data (PBE-GGA) for a relaxed BaBeAl2 crystal.

```
BaBeAl2
1.0
6.191 -0.016 0.007
-3.336 5.215 0.007
0.476 0.867 2.868
Be Ba Al
1 1 2
Direct
0.000 0.500 0.500 Be
0.500 0.000 0.500 Ba
0.000 0.000 0.000 Al
0.500 0.500 0.000 Al
```

Calculated values
E_tot	-10.49	eV per cell
space-group type	No. 12

Record 7
Density functional theory data (PBE-GGA) for a relaxed BaBe3Al crystal.

```
BaBe3Al
1.0
-0.692 -4.007 -2.256
2.704 1.490 -3.477
3.719 -1.829 2.108
Be Ba Al
3 1 1
Direct
0.000 0.500 0.000 Be
0.000 0.000 0.500 Be
0.500 0.000 0.000 Be
0.500 0.500 0.500 Ba
0.000 0.000 0.000 Al
```

Calculated values
ΔE to the lowest computed polymorph	0	meV/atom
space-group type	No. 221

Record 8
Density functional theory data (PBE-GGA) for a relaxed BaBe2Al crystal.

```
BaBe2Al
1.0
5.231 -0.003 0.001
-0.159 5.229 -0.001
-1.566 -3.554 3.504
Be Ba Al
2 1 1
Direct
0.894 0.894 0.000 Be
0.606 0.606 0.000 Be
0.250 0.750 0.500 Ba
0.750 0.250 0.500 Al
```

Calculated values
E_tot	-11.23	eV per cell
space-group type	No. 71